1.
Here is crystalline YGa4IrPt2 at its relaxed geometry from the Alexandria database. Energies are from PBE.

Calculated values
Crystal system: trigonal
ΔH_f (0 K), meV per atom: -634

Geometry as POSCAR:
```
YGa4IrPt2
1.0
4.287 0.000 0.000
2.144 3.713 0.000
2.144 1.238 8.685
Y Ga Ir Pt
1 4 1 2
direct
0.000 0.000 0.000
0.397 0.397 0.808
0.867 0.867 0.399
0.133 0.133 0.601
0.603 0.603 0.192
0.500 0.500 0.500
0.760 0.760 0.719
0.240 0.240 0.281
```


2.
Here is crystalline PmNiGe2Pt at its relaxed geometry from the Alexandria database. Energies are from PBE.

Calculated values
Crystal system: tetragonal
ΔH_f (0 K), meV per atom: -773

Geometry as POSCAR:
```
PmNiGe2Pt
1.0
-2.878 -2.739 1.446
-0.792 -1.258 -3.958
5.427 -1.559 1.667
Pm Ni Ge Pt
1 1 2 1
direct
0.000 0.000 0.000
0.750 0.250 0.500
0.624 0.624 0.249
0.376 0.376 0.751
0.250 0.750 0.500
```


3.
Here is crystalline CeErCo at its relaxed geometry from the Alexandria database. Energies are from PBE.

Calculated values
Crystal system: monoclinic
ΔH_f (0 K), meV per atom: -186

Geometry as POSCAR:
```
CeErCo
1.0
4.095 -0.009 0.006
0.012 5.717 0.024
-0.013 -1.880 5.925
Ce Er Co
2 2 2
direct
0.752 0.003 0.816
0.252 0.005 0.187
0.752 0.564 0.295
0.252 0.444 0.709
0.752 0.139 0.442
0.252 0.868 0.561
```


4.
Here is crystalline LiCdPI2 at its relaxed geometry from the Alexandria database. Energies are from PBE.

Calculated values
Crystal system: tetragonal
Uncorrected formation energy, meV/atom: -41.6

Geometry as POSCAR:
```
LiCdPI2
1.0
5.833 0.000 0.000
0.000 5.056 0.000
0.000 0.000 5.833
I P Li Cd
2 1 1 1
direct
0.000 0.000 0.500
0.500 0.000 0.000
0.000 0.000 0.000
0.500 0.500 0.500
0.000 0.500 0.000
```


Repeat the fourth record exactly.
Here is crystalline LiCdPI2 at its relaxed geometry from the Alexandria database. Energies are from PBE.

Calculated values
Crystal system: tetragonal
Uncorrected formation energy, meV/atom: -41.6

Geometry as POSCAR:
```
LiCdPI2
1.0
5.833 0.000 0.000
0.000 5.056 0.000
0.000 0.000 5.833
I P Li Cd
2 1 1 1
direct
0.000 0.000 0.500
0.500 0.000 0.000
0.000 0.000 0.000
0.500 0.500 0.500
0.000 0.500 0.000
```


What did the third record say?
Here is crystalline CeErCo at its relaxed geometry from the Alexandria database. Energies are from PBE.

Calculated values
Crystal system: monoclinic
ΔH_f (0 K), meV per atom: -186

Geometry as POSCAR:
```
CeErCo
1.0
4.095 -0.009 0.006
0.012 5.717 0.024
-0.013 -1.880 5.925
Ce Er Co
2 2 2
direct
0.752 0.003 0.816
0.252 0.005 0.187
0.752 0.564 0.295
0.252 0.444 0.709
0.752 0.139 0.442
0.252 0.868 0.561
```


- Which formula does entry 4 have?
  LiCdPI2